1 | The following is a DFT calculation (GGA-PBE) of crystalline PmAl2S4 at its relaxed geometry.

calculated volume = 318.6 Å³/cell

Lattice parameters (Å, degrees): 7.3142 7.9888 7.2099 75.93 59.51 61.36
Last column: nearest neighbours and their distance in Å.
Positions (direct):
S  0.1450  0.2428  0.6871  2 Al 2.28
S  0.7006  0.1507  0.7401  2 Al 2.32-2.33
S  0.0776  0.7614  0.3120  2 Al 2.26-2.29
S  0.6052  0.3464  0.2414  2 Al 2.33
S  0.1906  0.6507  0.7600  2 Al 2.32-2.33
S  0.5965  0.8462  0.2586  2 Al 2.33
S  0.1397  0.2614  0.1880  2 Al 2.26-2.29
S  0.5821  0.7428  0.8129  2 Al 2.28
Al  0.4716  0.6721  0.1694  4 S 2.28-2.33
Al  0.3039  0.3266  0.8319  4 S 2.26-2.33
Al  0.8858  0.8267  0.6681  4 S 2.26-2.33
Al  0.3910  0.1721  0.3306  4 S 2.28-2.33
Pm  0.7052  0.5001  0.5001  6 S 2.80-2.98
Pm  0.9552  0.0001  0.9998  6 S 2.80-2.98

2 | The following is a DFT calculation (GGA-PBE) of crystalline PmAl2S4 at its relaxed geometry.

calculated volume = 161.4 Å³/cell

Lattice parameters (Å, degrees): 6.0047 6.0047 6.0047 103.99 103.99 121.11
Last column: nearest neighbours and their distance in Å.
Positions (direct):
Pm  0.5000  0.5000  0.0000  4 S 2.89
Al  0.2500  0.7500  0.5000  4 S 2.27
Al  0.7500  0.2500  0.5000  4 S 2.27
S  0.3218  0.1518  0.4736  2 Al 2.27
S  0.8482  0.3218  0.1700  2 Al 2.27
S  0.1518  0.6782  0.8300  2 Al 2.27
S  0.6782  0.8482  0.5264  2 Al 2.27

Most stable = 1

1 | The following is a DFT calculation (GGA-PBE) of crystalline Pm2AlSb at its relaxed geometry.

calculated volume = 110.3 Å³/cell

Lattice parameters (Å, degrees): 5.3825 5.3825 5.3825 60.00 60.00 60.00
Last column: nearest neighbours and their distance in Å.
Positions (direct):
Sb  0.5000  0.5000  0.5000  8 Pm 3.30
Al  0.0000  0.0000  0.0000  8 Pm 3.30
Pm  0.2500  0.2500  0.2500  4 Sb 3.30, 4 Al 3.30
Pm  0.7500  0.7500  0.7500  4 Sb 3.30, 4 Al 3.30

2 | The following is a DFT calculation (GGA-PBE) of crystalline Pm2AlSb at its relaxed geometry.

calculated volume = 114.3 Å³/cell

Lattice parameters (Å, degrees): 4.9946 4.9946 6.0275 65.52 65.52 60.00
Last column: nearest neighbours and their distance in Å.
Positions (direct):
Sb  0.0000  0.0000  0.0000  6 Pm 3.19
Al  0.5000  0.5000  0.5000  6 Pm 3.16
Pm  0.7520  0.7520  0.7439  3 Al 3.16, 3 Sb 3.19
Pm  0.2480  0.2480  0.2561  3 Al 3.16, 3 Sb 3.19

3 | The following is a DFT calculation (GGA-PBE) of crystalline Pm2AlSb at its relaxed geometry.

calculated volume = 108.5 Å³/cell

Lattice parameters (Å, degrees): 4.0035 4.0035 6.7698 90.00 90.00 90.00
Last column: nearest neighbours and their distance in Å.
Positions (direct):
Sb  0.5000  0.5000  0.0000  8 Pm 3.29, 2 Al 3.38
Al  0.5000  0.5000  0.5000  8 Pm 3.31, 2 Sb 3.38
Pm  0.0000  0.0000  0.7521  4 Sb 3.29, 4 Al 3.31, 2 Pm 3.36-3.41
Pm  0.0000  0.0000  0.2479  4 Sb 3.29, 4 Al 3.31, 2 Pm 3.36-3.41

Most stable = 3

1 | The following is a DFT calculation (GGA-PBE) of crystalline PmScAl at its relaxed geometry.

calculated volume = 150.5 Å³/cell

Lattice parameters (Å, degrees): 3.5219 3.5218 12.1314 90.01 89.99 90.00
Last column: nearest neighbours and their distance in Å.
Positions (direct):
Pm  0.8725  0.2914  0.1333  4 Al 3.22, 4 Pm 3.52, 1 Sc 3.60
Pm  0.3725  0.7905  0.3790  4 Al 3.22, 4 Pm 3.52, 1 Sc 3.60
Sc  0.8723  0.2914  0.8367  4 Al 2.94, 4 Sc 3.17
Sc  0.3724  0.7911  0.6755  4 Al 2.94, 4 Sc 3.17
Al  0.8724  0.2907  0.5468  4 Sc 2.94, 4 Pm 3.22
Al  0.3724  0.7915  0.9655  4 Sc 2.94, 4 Pm 3.22

2 | The following is a DFT calculation (GGA-PBE) of crystalline PmScAl at its relaxed geometry.

calculated volume = 154.1 Å³/cell

Lattice parameters (Å, degrees): 3.4187 3.4187 13.4053 97.33 97.33 90.00
Last column: nearest neighbours and their distance in Å.
Positions (direct):
Pm  0.5702  0.5702  0.1404  4 Al 3.14, 4 Pm 3.42
Pm  0.4298  0.4298  0.8596  4 Al 3.14, 4 Pm 3.42
Sc  0.2894  0.2894  0.5787  4 Al 2.96, 4 Sc 3.19
Sc  0.7106  0.7106  0.4213  4 Al 2.96, 4 Sc 3.19
Al  0.1460  0.1460  0.2920  4 Sc 2.96, 4 Pm 3.14
Al  0.8540  0.8540  0.7080  4 Sc 2.96, 4 Pm 3.14

3 | The following is a DFT calculation (GGA-PBE) of crystalline PmScAl at its relaxed geometry.

calculated volume = 69.5 Å³/cell

Lattice parameters (Å, degrees): 3.0902 5.0971 5.0971 120.00 90.00 90.00
Last column: nearest neighbours and their distance in Å.
Positions (direct):
Sc  0.1640  0.0000  0.0000  3 Pm 2.94, 2 Sc 3.09
Al  0.6671  0.6667  0.3333  2 Al 3.09, 6 Sc 3.32-3.33, 6 Pm 3.32-3.33
Pm  0.1690  0.3333  0.6667  3 Sc 2.94, 2 Pm 3.09

Most stable = 1

1 | The following is a DFT calculation (GGA-PBE) of crystalline PmScAl at its relaxed geometry.

calculated volume = 167.7 Å³/cell

Lattice parameters (Å, degrees): 4.7470 5.4303 6.5060 90.00 90.00 90.00
Last column: nearest neighbours and their distance in Å.
Positions (direct):
Pm  0.0000  0.4999  0.2500  4 Al 3.16-3.17, 2 Pm 3.25
Pm  0.0000  0.5001  0.7500  4 Al 3.16-3.17, 2 Pm 3.25
Al  0.0000  0.0000  0.0000  4 Sc 2.88, 4 Pm 3.16-3.17
Al  0.0000  0.0000  0.5000  4 Sc 2.88, 4 Pm 3.16-3.17
Sc  0.5000  0.9999  0.2500  4 Al 2.88
Sc  0.5000  0.0001  0.7500  4 Al 2.88

2 | The following is a DFT calculation (GGA-PBE) of crystalline PmScAl at its relaxed geometry.

calculated volume = 74.3 Å³/cell

Lattice parameters (Å, degrees): 3.3524 3.3524 7.0257 103.80 103.80 90.00
Last column: nearest neighbours and their distance in Å.
Positions (direct):
Sc  0.3051  0.3051  0.6101  4 Al 2.97
Al  0.9401  0.9401  0.8803  4 Sc 2.97, 4 Pm 3.22
Pm  0.6048  0.6048  0.2096  4 Al 3.22, 4 Pm 3.35, 4 Sc 3.55

Most stable = 2

1 | The following is a DFT calculation (GGA-PBE) of crystalline PmSc2Al at its relaxed geometry.

calculated volume = 96.9 Å³/cell

Lattice parameters (Å, degrees): 3.3561 3.3561 8.6009 90.00 90.00 90.00
Last column: nearest neighbours and their distance in Å.
Positions (direct):
Sc  0.0000  0.0000  0.7936  4 Al 2.96
Sc  0.0000  0.0000  0.2064  4 Al 2.96
Al  0.5000  0.5000  0.0000  8 Sc 2.96
Pm  0.5000  0.5000  0.5000  4 Pm 3.36, 8 Sc 3.47

2 | The following is a DFT calculation (GGA-PBE) of crystalline PmSc2Al at its relaxed geometry.

calculated volume = 96.7 Å³/cell

Lattice parameters (Å, degrees): 4.5917 4.5890 4.5890 90.00 90.00 90.00
Last column: nearest neighbours and their distance in Å.
Positions (direct):
Sc  0.0000  0.0000  0.5000  4 Sc 3.24, 4 Al 3.25, 4 Pm 3.25
Sc  0.0000  0.5000  0.0000  4 Sc 3.24, 4 Pm 3.25, 4 Al 3.25
Al  0.5000  0.0000  0.0000  4 Pm 3.24, 8 Sc 3.25
Pm  0.5000  0.5000  0.5000  4 Al 3.24, 8 Sc 3.25

Most stable = 1

1 | The following is a DFT calculation (GGA-PBE) of crystalline Pm2AlSe at its relaxed geometry.

calculated volume = 214.6 Å³/cell

Lattice parameters (Å, degrees): 4.1835 4.3863 11.8969 100.62 90.00 90.00
Last column: nearest neighbours and their distance in Å.
Positions (direct):
Pm  0.7500  0.6817  0.3634  5 Se 2.94-3.04
Pm  0.2500  0.3183  0.6366  5 Se 2.94-3.04
Pm  0.7500  0.9324  0.8647  1 Se 2.92, 4 Al 3.11
Pm  0.2500  0.0676  0.1353  1 Se 2.92, 4 Al 3.11
Al  0.2500  0.4630  0.9260  2 Al 2.72
Al  0.7500  0.5370  0.0740  2 Al 2.72
Se  0.2500  0.1925  0.3849  6 Pm 2.92-3.04
Se  0.7500  0.8075  0.6151  6 Pm 2.92-3.04

2 | The following is a DFT calculation (GGA-PBE) of crystalline Pm2AlSe at its relaxed geometry.

calculated volume = 100.7 Å³/cell

Lattice parameters (Å, degrees): 3.5505 3.5505 7.9905 90.00 90.00 90.00
Last column: nearest neighbours and their distance in Å.
Positions (direct):
Al  0.5000  0.5000  0.0000  8 Pm 3.27, 4 Al 3.55
Se  0.5000  0.5000  0.5000  8 Pm 3.15
Pm  0.0000  0.0000  0.7382  4 Se 3.15, 4 Al 3.27
Pm  0.0000  0.0000  0.2618  4 Se 3.15, 4 Al 3.27

Most stable = 1